Entry 1:
Computed, not measured: an optimized crystal structure of Rb3SmCu2Br9 at the PBE-GGA level of DFT.

Calculated values
SG: No. 164
Formation energy from raw total energies: -1272.2 meV/atom
N(E_F): 4.15 states/eV/cell

Cell lengths 7.671, 7.671, 9.512 Å; angles 90.00, 90.00, 120.00 degrees
Atoms (fractional coordinates):
Rb 0.333 0.667 0.686
Rb 0.000 0.000 0.000
Rb 0.667 0.333 0.314
Sm 0.000 0.000 0.500
Cu 0.333 0.667 0.137
Cu 0.667 0.333 0.863
Br 0.827 0.173 0.675
Br 0.827 0.654 0.675
Br 0.346 0.173 0.675
Br 0.654 0.827 0.325
Br 0.173 0.346 0.325
Br 0.173 0.827 0.325
Br 0.500 0.000 0.000
Br 0.000 0.500 0.000
Br 0.500 0.500 0.000

---

Entry 2:
Computed, not measured: an optimized crystal structure of SiPt2O at the PBE-GGA level of DFT.

Calculated values
SG: No. 225
Formation energy from raw total energies: -176.2 meV/atom
N(E_F): 0.00 states/eV/cell
E above lowest polymorph: 0.00 eV per formula unit

Cell lengths 4.157, 4.157, 4.157 Å; angles 60.00, 60.00, 60.00 degrees
Atoms (fractional coordinates):
Si 0.500 0.500 0.500
O 0.000 0.000 0.000
Pt 0.250 0.250 0.250
Pt 0.750 0.750 0.750

---

Entry 3:
Computed, not measured: an optimized crystal structure of AlCu2Ru at the PBE-GGA level of DFT.

Calculated values
SG: No. 35
N(E_F): 3.16 states/eV/cell
Energy of formation: 32 meV per atom

Cell lengths 2.658, 2.658, 8.306 Å; angles 90.00, 90.00, 114.23 degrees
Atoms (fractional coordinates):
Ru 0.000 0.000 0.506
Al 0.500 0.500 0.751
Cu 0.000 0.000 0.998
Cu 0.500 0.500 0.244

---

Entry 4:
Computed, not measured: an optimized crystal structure of ErLu2Se at the PBE-GGA level of DFT.

Calculated values
SG: No. 166
Formation energy from raw total energies: -468.2 meV/atom
N(E_F): 5.99 states/eV/cell
E above lowest polymorph: 0.74 eV per formula unit

Cell lengths 3.600, 3.600, 10.524 Å; angles 80.15, 80.15, 60.00 degrees
Atoms (fractional coordinates):
Lu 0.107 0.107 0.678
Lu 0.893 0.893 0.322
Se 0.500 0.500 0.500
Er 0.000 0.000 0.000

---

Entry 5:
Computed, not measured: an optimized crystal structure of Ta2OsW at the PBE-GGA level of DFT.

Calculated values
SG: No. 123
N(E_F): 1.49 states/eV/cell
E above lowest polymorph: 0.03 eV per formula unit
Energy of formation: -292 meV per atom

Cell lengths 3.204, 4.548, 4.548 Å; angles 90.00, 90.00, 90.00 degrees
Atoms (fractional coordinates):
Ta 0.000 0.000 0.500
Ta 0.000 0.500 0.000
Os 0.500 0.500 0.500
W 0.500 0.000 0.000

---

Entry 6:
Computed, not measured: an optimized crystal structure of Pr2NiAs3Ir4 at the PBE-GGA level of DFT.

Calculated values
SG: No. 115
N(E_F): 6.35 states/eV/cell
Energy of formation: -680 meV per atom

Cell lengths 4.235, 4.235, 10.196 Å; angles 90.00, 90.00, 90.00 degrees
Atoms (fractional coordinates):
Pr 0.500 0.000 0.259
Pr 0.000 0.500 0.741
Ni 0.500 0.500 0.500
As 0.000 0.000 0.500
As 0.500 0.000 0.861
As 0.000 0.500 0.139
Ir 0.500 0.500 0.000
Ir 0.000 0.000 0.000
Ir 0.500 0.000 0.624
Ir 0.000 0.500 0.376

---

Entry 7:
Computed, not measured: an optimized crystal structure of GaSb2Pd3 at the PBE-GGA level of DFT.

Calculated values
SG: No. 12
Formation energy from raw total energies: -334.9 meV/atom
N(E_F): 4.64 states/eV/cell

Cell lengths 8.243, 6.323, 5.872 Å; angles 81.86, 77.45, 49.32 degrees
Atoms (fractional coordinates):
Ga 0.661 0.677 0.000
Ga 0.339 0.323 0.000
Sb 0.000 0.000 0.000
Sb 0.500 0.000 0.500
Sb 0.170 0.660 0.500
Sb 0.830 0.340 0.500
Pd 0.422 0.646 0.784
Pd 0.263 0.000 0.216
Pd 0.578 0.354 0.216
Pd 0.932 0.646 0.216
Pd 0.068 0.354 0.784
Pd 0.737 0.000 0.784

---

Entry 8:
Computed, not measured: an optimized crystal structure of CdPbSCl2 at the PBE-GGA level of DFT.

Calculated values
SG: No. 123
Formation energy from raw total energies: -519.1 meV/atom
N(E_F): 0.02 states/eV/cell
E above lowest polymorph: 0.00 eV per formula unit

Cell lengths 5.073, 5.073, 5.233 Å; angles 90.00, 90.00, 90.00 degrees
Atoms (fractional coordinates):
Pb 0.500 0.500 0.500
S 0.000 0.000 0.500
Cl 0.000 0.500 0.000
Cl 0.500 0.000 0.000
Cd 0.000 0.000 0.000

---

Entry 9:
Computed, not measured: an optimized crystal structure of SbAsS4 at the PBE-GGA level of DFT.

Calculated values
SG: No. 31
Formation energy from raw total energies: 6.6 meV/atom
E above lowest polymorph: 0.28 eV per formula unit

Cell lengths 6.179, 5.995, 9.061 Å; angles 90.00, 90.00, 90.00 degrees
Atoms (fractional coordinates):
Sb 0.080 0.958 0.000
Sb 0.580 0.042 0.500
As 0.466 0.362 0.000
As 0.966 0.638 0.500
S 0.449 0.725 0.000
S 0.813 0.338 0.000
S 0.282 0.201 0.814
S 0.782 0.799 0.686
S 0.313 0.662 0.500
S 0.949 0.275 0.500
S 0.782 0.799 0.314
S 0.282 0.201 0.186

---

Entry 10:
Computed, not measured: an optimized crystal structure of Mg3SbN at the PBE-GGA level of DFT.

Calculated values
SG: No. 12
Formation energy from raw total energies: -417.8 meV/atom
N(E_F): 0.00 states/eV/cell

Cell lengths 19.271, 7.909, 7.909 Å; angles 149.43, 154.84, 25.16 degrees
Atoms (fractional coordinates):
Sb 0.711 0.896 0.104
Sb 0.289 0.104 0.896
Mg 0.797 0.175 0.825
Mg 0.203 0.825 0.175
Mg 0.958 0.357 0.643
Mg 0.042 0.643 0.357
Mg 0.411 0.772 0.228
Mg 0.589 0.228 0.772
N 0.858 0.974 0.026
N 0.142 0.026 0.974

---

Entry 11:
Computed, not measured: an optimized crystal structure of KTlInHg3 at the PBE-GGA level of DFT.

Calculated values
SG: No. 15
N(E_F): 3.73 states/eV/cell
Energy of formation: -75 meV per atom

Cell lengths 7.767, 8.065, 7.862 Å; angles 59.14, 88.44, 86.95 degrees
Atoms (fractional coordinates):
K 0.250 0.254 0.491
K 0.750 0.746 0.509
Tl 0.250 0.523 0.953
Tl 0.750 0.477 0.047
In 0.750 0.018 0.963
In 0.250 0.982 0.037
Hg 0.500 0.851 0.816
Hg 0.000 0.333 0.816
Hg 0.750 0.245 0.509
Hg 0.500 0.149 0.184
Hg 0.000 0.667 0.184
Hg 0.250 0.755 0.491

---

Entry 12:
Computed, not measured: an optimized crystal structure of KZrAg2 at the PBE-GGA level of DFT.

Calculated values
SG: No. 8
N(E_F): 3.18 states/eV/cell
E above lowest polymorph: 0.75 eV per formula unit
Energy of formation: 308 meV per atom

Cell lengths 6.071, 6.071, 5.618 Å; angles 77.59, 77.59, 27.64 degrees
Atoms (fractional coordinates):
Ag 0.976 0.976 0.949
Ag 0.278 0.278 0.293
K 0.522 0.522 0.431
Zr 0.725 0.725 0.827

---

Entry 13:
Computed, not measured: an optimized crystal structure of MnInNCl2 at the PBE-GGA level of DFT.

Calculated values
SG: No. 123
Formation energy from raw total energies: 540.7 meV/atom
N(E_F): 2.96 states/eV/cell

Cell lengths 4.626, 4.626, 6.127 Å; angles 90.00, 90.00, 90.00 degrees
Atoms (fractional coordinates):
Cl 0.000 0.500 0.000
Cl 0.500 0.000 0.000
N 0.500 0.500 0.500
Mn 0.000 0.000 0.000
In 0.000 0.000 0.500

---

Entry 14:
Computed, not measured: an optimized crystal structure of SrY2MoP at the PBE-GGA level of DFT.

Calculated values
SG: No. 123
N(E_F): 5.13 states/eV/cell
Energy of formation: 1816 meV per atom

Cell lengths 5.580, 4.675, 5.580 Å; angles 90.00, 90.00, 90.00 degrees
Atoms (fractional coordinates):
Y 0.000 0.000 0.500
Y 0.500 0.000 0.000
Sr 0.000 0.000 0.000
Mo 0.000 0.500 0.000
P 0.500 0.500 0.500

---

Entry 15:
Computed, not measured: an optimized crystal structure of Ho3Tm2Zn2 at the PBE-GGA level of DFT.

Calculated values
SG: No. 65
N(E_F): 9.44 states/eV/cell
E above lowest polymorph: 0.32 eV per formula unit
Energy of formation: -112 meV per atom

Cell lengths 3.516, 3.483, 15.216 Å; angles 90.00, 83.37, 90.00 degrees
Atoms (fractional coordinates):
Ho 0.881 0.000 0.238
Ho 0.000 0.000 0.000
Ho 0.119 0.000 0.762
Tm 0.701 0.500 0.597
Tm 0.299 0.500 0.403
Zn 0.559 0.500 0.883
Zn 0.441 0.500 0.117

---

Number 1: calculated volume 32.31 A^3/atom, total DFT energy (no corrections) -3.33 eV per atom. Number 2: calculated volume 12.70 A^3/atom, total DFT energy (no corrections) -5.79 eV per atom. Number 3: calculated volume 13.38 A^3/atom, total DFT energy (no corrections) -5.27 eV per atom. Number 4: calculated volume 28.95 A^3/atom, total DFT energy (no corrections) -4.74 eV per atom. Number 5: calculated volume 16.57 A^3/atom, total DFT energy (no corrections) -12.26 eV per atom. Number 6: calculated volume 18.29 A^3/atom, total DFT energy (no corrections) -7.15 eV per atom. Number 7: calculated volume 18.88 A^3/atom, total DFT energy (no corrections) -4.81 eV per atom. Number 8: calculated volume 26.93 A^3/atom, total DFT energy (no corrections) -3.01 eV per atom. Number 9: calculated volume 27.97 A^3/atom, total DFT energy (no corrections) -4.21 eV per atom. Number 10: calculated volume 21.20 A^3/atom, total DFT energy (no corrections) -3.86 eV per atom. Number 11: calculated volume 35.18 A^3/atom, total DFT energy (no corrections) -1.26 eV per atom. Number 12: calculated volume 23.41 A^3/atom, total DFT energy (no corrections) -3.53 eV per atom. Number 13: calculated volume 26.22 A^3/atom, total DFT energy (no corrections) -4.24 eV per atom. Number 14: calculated volume 29.11 A^3/atom, total DFT energy (no corrections) -4.35 eV per atom. Number 15: calculated volume 26.44 A^3/atom, total DFT energy (no corrections) -3.72 eV per atom.